Here is a relaxed Pr2AlSnAu6 crystal from Alexandria. Energies are from PBE.

Output
- V (A^3/atom) = 23.8
- total magnetic moment (μB/f.u.) = 0.00

Unit cell a=5.8021 b=8.8294 c=9.2913 alpha=90.00 beta=90.00 gamma=90.00
Closest atoms and distances in Å follow each position.
Space group Pmmn (No. 59, origin choice 2)
Symmetry-distinct sites (fractional):
Pr: 0.2500 0.0039 0.2398 [4 per cell]  7 Au 3.23-3.44
Al: 0.2500 0.7500 0.7480 [2 per cell]  6 Au 2.51-2.61
Sn: 0.2500 0.2500 0.7830 [2 per cell]  4 Au 2.71-2.72
Au: 0.0035 0.7500 0.9702 [4 per cell]  1 Al 2.51, 1 Sn 2.72
Au: 0.0059 0.2500 0.4831 [4 per cell]  1 Al 2.61, 5 Au 2.82-2.84
Au: 0.2500 0.0041 0.6087 [4 per cell]  1 Al 2.59, 1 Sn 2.71, 4 Au 2.82-2.84

***

Here is a relaxed Tb7Pm4Nd crystal from Alexandria. Energies are from PBE.

Output
- distance to the lowest polymorph of the same formula (eV/atom) = 0.1682
- V (A^3/atom) = 34.2
- total magnetic moment (μB/f.u.) = 0.00

Unit cell a=12.1512 b=5.9621 c=12.8196 alpha=90.00 beta=118.04 gamma=90.00
Closest atoms and distances in Å follow each position.
Space group C2/m (No. 12)
Symmetry-distinct sites (fractional):
Tb: 0.0000 0.0000 0.0000 [2 per cell]  2 Nd 2.98, 2 Tb 3.17
Tb: 0.0654 0.5000 0.3213 [4 per cell]  4 Tb 3.30-3.60, 3 Pm 3.67-3.68
Tb: 0.1316 0.0000 0.4984 [4 per cell]  4 Tb 3.22-3.60, 5 Pm 3.30-3.59
Tb: 0.2106 0.5000 0.9225 [4 per cell]  1 Nd 3.15, 4 Tb 3.17-3.46, 4 Pm 3.33-3.41
Pm: 0.1357 0.0000 0.7766 [4 per cell]  7 Tb 3.40-3.68, 2 Pm 3.68
Pm: 0.2344 0.5000 0.6740 [4 per cell]  5 Tb 3.30-3.67, 2 Pm 3.68
Nd: 0.0000 0.5000 0.0000 [2 per cell]  4 Tb 2.98-3.15

***

Number 1: energy relative to the elements -0.52 eV per atom. Number 2: energy relative to the elements 0.25 eV per atom.